[1]
Here is a relaxed structure of TaTe2P from Alexandria via LeMat-Bulk. Energies are from PBE.

Lattice parameters (Å, degrees): 8.5741 8.5741 8.5741 156.36 156.00 33.94
With the nearest neighbours (Å) after each atom.
Fractional coordinates of all 4 atoms:
Ta 0.0000 0.0000 0.0000  4 P 2.50
Te 0.1465 0.6465 0.5000  2 Ta 2.98, 2 P 2.99
Te 0.8535 0.3535 0.5000  2 Ta 2.98, 2 P 2.99
P 0.5000 0.5000 0.0000  4 Ta 2.50

Output
Final energy ... -5.927 eV per atom
ρ ... 7.6 g cm⁻³
Calculated volume ... 25.7 A^3/atom
Magnetic moment ... 0.0 Bohr magnetons per cell



[2]
Here is a relaxed structure of AsPb2Br from Alexandria via LeMat-Bulk. Energies are from PBE.

Lattice parameters (Å, degrees): 3.7782 3.7076 8.0514 90.00 90.20 90.00
With the nearest neighbours (Å) after each atom.
Fractional coordinates of all 4 atoms:
As 0.0000 0.0000 0.0000  8 Pb 3.19
Pb 0.4976 0.5000 0.7791  4 As 3.19, 4 Br 3.46-3.48, 1 Pb 3.56
Pb 0.5024 0.5000 0.2209  4 As 3.19, 4 Br 3.46-3.48, 1 Pb 3.56
Br 0.0000 0.0000 0.5000  8 Pb 3.46-3.48, 4 Br 3.71-3.78

Output
ρ ... 8.4 g cm⁻³
Calculated volume ... 28.2 A^3/atom
Magnetic moment ... 0.0 Bohr magnetons per cell
Polymorph energy (0 for the lowest one) ... 0.607 eV/f.u.



[3]
Here is a relaxed structure of CeSm4Ag5 from Alexandria via LeMat-Bulk. Energies are from PBE.

Lattice parameters (Å, degrees): 3.6762 3.6762 18.9769 90.00 90.00 90.00
With the nearest neighbours (Å) after each atom.
Fractional coordinates of all 10 atoms:
Ce 0.0000 0.0000 0.0000  8 Ag 3.28
Sm 0.0000 0.0000 0.2018  8 Ag 3.18-3.21
Sm 0.0000 0.0000 0.4006  8 Ag 3.21
Sm 0.0000 0.0000 0.5994  8 Ag 3.21
Sm 0.0000 0.0000 0.7982  8 Ag 3.18-3.21
Ag 0.5000 0.5000 0.1051  4 Sm 3.18, 4 Ce 3.28
Ag 0.5000 0.5000 0.3013  8 Sm 3.21
Ag 0.5000 0.5000 0.5000  8 Sm 3.21
Ag 0.5000 0.5000 0.6987  8 Sm 3.21
Ag 0.5000 0.5000 0.8949  4 Sm 3.18, 4 Ce 3.28

Output
Final energy ... -4.139 eV per atom
ρ ... 8.3 g cm⁻³
Calculated volume ... 25.6 A^3/atom
Magnetic moment ... 1.1 Bohr magnetons per cell



[4]
Here is a relaxed structure of Ca2Zn2Cl from Alexandria via LeMat-Bulk. Energies are from PBE.

Lattice parameters (Å, degrees): 9.2976 9.2976 9.2976 156.56 156.56 33.39
With the nearest neighbours (Å) after each atom.
Fractional coordinates of all 5 atoms:
Ca 0.1133 0.1133 0.0000  4 Zn 3.08, 4 Cl 3.35
Ca 0.8867 0.8867 0.0000  4 Zn 3.08, 4 Cl 3.35
Zn 0.2500 0.7500 0.5000  4 Zn 2.67
Zn 0.7500 0.2500 0.5000  4 Zn 2.67
Cl 0.5000 0.5000 0.0000  8 Ca 3.35

Output
ρ ... 3.2 g cm⁻³
Calculated volume ... 25.4 A^3/atom
Magnetic moment ... 0.0 Bohr magnetons per cell
Polymorph energy (0 for the lowest one) ... 0.366 eV/f.u.